[1]
SrCrOs2 | PBE | optimized geometry

a = 3.969 Å, b = 3.969 Å, c = 4.594 Å
α = 90.00°, β = 90.00°, γ = 90.00°
Sites, in units of the cell vectors:
Sr 0.000 0.000 0.000
Cr 0.500 0.500 0.000
Os 0.000 0.500 0.500
Os 0.500 0.000 0.500

Results
formation energy: 4.68 eV per formula unit
energy above the lowest structure with this stoichiometry: 598 meV per atom

[2]
SrCrOs | PBE | optimized geometry

a = 3.319 Å, b = 3.319 Å, c = 11.487 Å
α = 90.00°, β = 90.00°, γ = 90.00°
Sites, in units of the cell vectors:
Sr 0.000 0.000 0.000
Sr 0.500 0.500 0.500
Cr 0.000 0.000 0.272
Cr 0.500 0.500 0.772
Os 0.000 0.000 0.723
Os 0.500 0.500 0.223

Results
formation energy: 1.76 eV per formula unit
energy above the lowest structure with this stoichiometry: 55 meV per atom

| no. | mass density (g cm⁻³) | density of states at the Fermi level (states/eV/f.u.) |
| --- | --- | --- |
| 1 | 11.9 | 5.1 |
| 2 | 8.7 | 1.8 |